Density functional theory data (PBE-GGA) for crystalline LaY3In3 at its relaxed geometry.

Unit cell a=9.434 b=9.434 c=9.434 alpha=90.00 beta=90.00 gamma=90.00
Space group P2_13 (No. 198)
Symmetry-distinct sites (fractional):
La1 0.051 0.449 0.551
Y1 0.114 0.614 0.886
Y2 0.170 0.170 0.170
Y3 0.198 0.802 0.302
In1 0.005 0.797 0.599

Values from the calculation:
Calculated formation energy (meV per atom): -361
DOS(E_F) (states/eV/f.u.): 7.25